A geometry-optimized Pu3P3Ir structure. Source: Alexandria via LeMat-Bulk, functional PBE.

Lattice parameters (Å, degrees): 8.0493 8.0493 5.4995 90.00 90.00 120.00
With the nearest neighbours (Å) after each atom.
Atoms (fractional coordinates):
Pu1 0.0880 0.6855 0.2500  5 P 2.78-2.89
Pu2 0.3145 0.4025 0.2500  5 P 2.78-2.89
Pu3 0.4025 0.0880 0.7500  5 P 2.78-2.89
Pu4 0.5975 0.9120 0.2500  5 P 2.78-2.89
Pu5 0.6855 0.5975 0.7500  5 P 2.78-2.89
Pu6 0.9120 0.3145 0.7500  5 P 2.78-2.89
P1 0.0763 0.7264 0.7500  1 Ir 2.35
P2 0.2736 0.3498 0.7500  1 Ir 2.35
P3 0.3498 0.0763 0.2500  1 Ir 2.35
P4 0.6502 0.9237 0.7500  1 Ir 2.35
P5 0.7264 0.6502 0.2500  1 Ir 2.35
P6 0.9237 0.2736 0.2500  1 Ir 2.35
Ir1 0.3333 0.6667 0.7500  3 P 2.35
Ir2 0.6667 0.3333 0.2500  3 P 2.35

Formation enthalpy at 0 K   -0.863 eV/atom
Mass density   10.947 g/cm3
N(E_F)   3.84 states/eV per atom
M_tot   28.9 μB/cell
VASP energy   -10.590 eV/atom